1.
Material: K2GaFeO4
Method: DFT, GGA+U
State: optimized geometry

Spin magnetization = 10.00 Bohr magnetons per cell
DOS at the Fermi energy = 0.00 states/eV per cell
Total DFT energy (no corrections) = -5.541 eV per atom

Lattice parameters (Å, degrees): 5.711 5.711 7.957 90.00 90.00 90.00
Space group I-4 (No. 82)
Unique sites:
K 0.000 0.000 0.000 [2 per cell]
K 0.000 0.500 0.250 [2 per cell]
Ga 0.000 0.500 0.750 [2 per cell]
Fe 0.000 0.000 0.500 [2 per cell]
O 0.128 0.254 0.625 [8 per cell]

=====

2.
Material: KGa4FeO8
Method: DFT, GGA+U
State: optimized geometry

Spin magnetization = 3.09 Bohr magnetons per cell
DOS at the Fermi energy = 18.80 states/eV per cell
Total DFT energy (no corrections) = -5.560 eV per atom

Lattice parameters (Å, degrees): 6.2432 6.2432 14.5316 90.00 90.00 120.00
Space group R3m (No. 160, hexagonal axes)
Unique sites:
K 0.0000 0.0000 0.0000 [3 per cell]
Ga 0.0000 0.0000 0.2292 [3 per cell]
Ga 0.1751 0.3502 0.4386 [9 per cell]
Fe 0.0000 0.0000 0.6081 [3 per cell]
O 0.0000 0.0000 0.3620 [3 per cell]
O 0.0000 0.0000 0.8400 [3 per cell]
O 0.0721 0.5361 0.3560 [9 per cell]
O 0.1745 0.3491 0.1812 [9 per cell]

=====

3.
Material: KGaFe2O
Method: DFT, GGA+U
State: optimized geometry

Spin magnetization = 6.02 Bohr magnetons per cell
DOS at the Fermi energy = 2.97 states/eV per cell
Total DFT energy (no corrections) = -2.605 eV per atom

Lattice parameters (Å, degrees): 5.316 5.316 4.426 90.00 90.00 90.00
Space group P4/mmm (No. 123)
Unique sites:
K 0.000 0.000 0.000 [1 per cell]
Ga 0.500 0.500 0.500 [1 per cell]
Fe 0.000 0.500 0.000 [2 per cell]
O 0.000 0.000 0.500 [1 per cell]